The following is a PBE calculation of a relaxed structure of Tb4Sm3Er5, from Alexandria.

```
data_Tb4Sm3Er5
_space_group_name_H-M_alt 'C 1 2/m 1'
_space_group_IT_number 12
_cell_length_a 15.931
_cell_length_b 5.891
_cell_length_c 9.254
_cell_angle_alpha 90.00
_cell_angle_beta 116.11
_cell_angle_gamma 90.00
loop_
_space_group_symop_operation_xyz
'x,y,z'
'-x,-y,-z'
'-x,y,-z'
'x,-y,z'
'x+1/2,y+1/2,z'
'-x+1/2,-y+1/2,-z'
'-x+1/2,y+1/2,-z'
'x+1/2,-y+1/2,z'
loop_
_atom_site_label
_atom_site_type_symbol
_atom_site_fract_x
_atom_site_fract_y
_atom_site_fract_z
_atom_site_occupancy
Tb1 Tb 0.082 0.000 0.442 1
Tb2 Tb 0.210 0.000 0.879 1
Sm1 Sm 0.000 0.500 0.000 1
Sm2 Sm 0.209 0.000 0.232 1
Er1 Er 0.000 0.000 0.000 1
Er2 Er 0.073 0.500 0.697 1
Er3 Er 0.172 0.500 0.387 1
```

Computed properties:
final energy	-4.39	eV/atom
formation energy	2.8	eV/f.u.
energy relative to the lowest polymorph listed for this composition	218.9	meV/atom